Material: Li8AsAu2
Method: DFT, PBE-GGA
State: relaxed

The structure in POSCAR format:
```
Li8AsAu2
1.0
-2.1615 6.4170 3.2618
2.1615 -6.4170 3.2618
2.1615 6.4170 -3.2618
Li As Au
8 1 2
Direct
0.0000 0.0000 0.0000
0.1447 0.4870 0.6578
0.2965 0.9888 0.3077
0.3284 0.8284 0.5000
0.5522 0.6620 0.8902
0.6811 0.9888 0.6923
0.7717 0.6620 0.1098
0.8292 0.4870 0.3422
0.7366 0.2366 0.5000
0.0991 0.2576 0.8415
0.4161 0.2576 0.1585
```

Energy above the most stable polymorph in this dataset: 0.0168 eV per atom
Energy of formation from the pure elements: -474 meV per atom
Symmetry: Imm2 (44)